Entry from Alexandria via LeMat-Bulk: ScCoSb2 after structural relaxation (PBE).

Calculated values
E, eV/atom: -5.64
E_form (uncorrected), meV per atom: -222

Lattice parameters (Å, degrees): 10.2941 3.8030 4.3497 90.00 100.90 90.00
Space group Cm (No. 8)
Symmetry-distinct sites (fractional):
Sc 0.0000 0.0000 0.0000
Co 0.1717 0.0000 0.5712
Sb 0.2251 0.5000 0.0621
Sb 0.4622 0.0000 0.4802


Entry from Alexandria via LeMat-Bulk: Th4CoPtS2 after structural relaxation (PBE).

Calculated values
E, eV/atom: -7.59
E_form (uncorrected), meV per atom: -1207

Lattice parameters (Å, degrees): 7.0122 4.0547 7.3780 90.00 107.91 90.00
Space group P2/m (No. 10)
Symmetry-distinct sites (fractional):
Th 0.2345 0.0000 0.2310
Th 0.2392 0.5000 0.7623
Co 0.0000 0.5000 0.0000
Pt 0.5000 0.0000 0.0000
S 0.0000 0.0000 0.5000
S 0.5000 0.5000 0.5000


Entry from Alexandria via LeMat-Bulk: RbU2Tl2S7 after structural relaxation (PBE).

Calculated values
E, eV/atom: -5.78
E_form (uncorrected), meV per atom: -1021

Lattice parameters (Å, degrees): 7.3566 7.3562 13.6567 90.00 105.44 90.00
Space group C2/m (No. 12)
Symmetry-distinct sites (fractional):
Rb 0.0000 0.0000 0.0000
U 0.0985 0.5000 0.1990
Tl 0.1902 0.0000 0.3708
S 0.0000 0.5000 0.0000
S 0.1534 0.2498 0.8052
S 0.1880 0.5000 0.3848


Entry from Alexandria via LeMat-Bulk: LaPm2Tm8 after structural relaxation (PBE).

Calculated values
E, eV/atom: -4.42

Lattice parameters (Å, degrees): 18.9935 6.9727 5.4860 90.00 92.80 90.00
Space group C2/m (No. 12)
Symmetry-distinct sites (fractional):
La 0.0000 0.0000 0.0000
Pm 0.2149 0.5000 0.2473
Tm 0.0462 0.5000 0.2395
Tm 0.1326 0.2674 0.7314
Tm 0.1872 0.0000 0.2345


Entry from Alexandria via LeMat-Bulk: Th6P3CS2 after structural relaxation (PBE).

Calculated values
E, eV/atom: -7.97
E_form (uncorrected), meV per atom: -1449

Lattice parameters (Å, degrees): 17.6335 4.0414 8.1532 90.00 102.81 90.00
Space group C2/m (No. 12)
Symmetry-distinct sites (fractional):
Th 0.0016 0.0000 0.2746
Th 0.1564 0.5000 0.5763
Th 0.1658 0.5000 0.0844
P 0.0000 0.5000 0.0000
P 0.1700 0.0000 0.3346
C 0.0000 0.5000 0.5000
S 0.1654 0.0000 0.8320


Entry from Alexandria via LeMat-Bulk: Sr2CoB10 after structural relaxation (PBE).

Calculated values
E, eV/atom: -6.29

Lattice parameters (Å, degrees): 5.7130 11.3603 4.2394 90.00 90.00 90.00
Space group Pbam (No. 55)
Symmetry-distinct sites (fractional):
Sr 0.1930 0.1364 0.0000
Co 0.0000 0.5000 0.5000
B 0.0316 0.3133 0.5000
B 0.1285 0.9583 0.5000
B 0.1620 0.8030 0.5000
B 0.1972 0.3879 0.2028